[1]
Below is a relaxed Hf2ReRh2 crystal, with properties calculated at the PBE-GGA level.

Cell: 7.1573 7.1573 3.3904 Å, 90.00 90.00 90.00°
Element x y z (fractional)
Re  0.0000  0.0000  0.0000
Re  0.5000  0.5000  0.0000
Hf  0.1756  0.6756  0.5000
Hf  0.6756  0.8244  0.5000
Hf  0.8244  0.3244  0.5000
Hf  0.3244  0.1756  0.5000
Rh  0.3707  0.8707  0.0000
Rh  0.8707  0.6293  0.0000
Rh  0.6293  0.1293  0.0000
Rh  0.1293  0.3707  0.0000

Output
Magnetization ... 0.00 μB per cell
D(E_F) ... 0.916 states/eV per atom
ΔH_f (0 K) ... -363 meV/atom
E_tot ... -9.774 eV/atom
Energy relative to the lowest polymorph listed for this composition ... 0 meV per atom

---

[2]
Below is a relaxed HfRe2Rh2 crystal, with properties calculated at the PBE-GGA level.

Cell: 3.5915 3.5915 7.0742 Å, 75.29 75.29 90.00°
Element x y z (fractional)
Re  0.7500  0.2500  0.5000
Re  0.2500  0.7500  0.5000
Hf  0.0000  0.0000  0.0000
Rh  0.4030  0.4030  0.1940
Rh  0.5970  0.5970  0.8060

Output
Magnetization ... 0.00 μB per cell
D(E_F) ... 1.599 states/eV per atom
ΔH_f (0 K) ... 3 meV/atom
E_tot ... -9.907 eV/atom
Energy relative to the lowest polymorph listed for this composition ... 82 meV per atom